Crystalline TbGaAu4 at its relaxed geometry. Source: Alexandria, functional PBE.

```
data_TbGaAu4
_cell_length_a 5.5814
_cell_length_b 5.5814
_cell_length_c 5.5814
_cell_angle_alpha 60.00
_cell_angle_beta 60.00
_cell_angle_gamma 60.00
_symmetry_space_group_name_H-M 'P 1'
_symmetry_Int_Tables_number 1
loop_
_symmetry_equiv_pos_as_xyz
'x,y,z'
loop_
_atom_site_label
_atom_site_fract_x
_atom_site_fract_y
_atom_site_fract_z
Au1 0.6252 0.1246 0.6251
Au2 0.6252 0.6251 0.1246
Au3 0.6252 0.6251 0.6251
Au4 0.1246 0.6251 0.6251
Ga1 0.0000 0.0000 0.0000
Tb1 0.2500 0.2500 0.2500
```

Output
volume = 122.9 Å³/f.u.
energy = -3.835 eV/atom
crystal system = cubic